1.
Compound: Si4Ir3Pt
Source: OQMD via LeMat-Bulk
Functional: GGA-PBE
Structure: optimized geometry

Computed properties:
**Magnetic moment**: 0.000 μB/atom
**E**: -0.269 hartree per atom
**Space-group type**: Pm (6)

Lattice parameters (Å, degrees): 5.259 3.779 6.171 90.00 112.58 90.00
Element x y z (fractional)
Ir1 0.515 0.500 0.175
Ir2 0.209 0.000 0.324
Ir3 0.797 0.500 0.680
Pt1 0.485 0.000 0.827
Si1 0.928 0.500 0.112
Si2 0.770 0.000 0.380
Si3 0.223 0.500 0.607
Si4 0.073 0.000 0.895

2.
Compound: Nb2ZnB
Source: OQMD via LeMat-Bulk
Functional: GGA-PBE
Structure: optimized geometry

Computed properties:
**Magnetic moment**: 0.026 μB/atom
**E**: -0.229 hartree per atom
**Space-group type**: F-43m (216)

Lattice parameters (Å, degrees): 4.375 4.375 4.375 60.00 60.00 60.00
Site moments in Bohr magnetons follow the coordinates.
Element x y z (fractional)
B1 0.500 0.500 0.500  0.00
Nb1 0.000 0.000 0.000  0.06
Nb2 0.750 0.750 0.750  0.05
Zn1 0.250 0.250 0.250  0.00